## CaZrBe2 (PBE)

Data for a relaxed structure of CaZrBe2.

Output
DFT total energy   -3.926 eV per atom

CIF file:
```
data_CaZrBe2
_chemical_formula_sum 'Ca2 Zr2 Be4'
_space_group_name_H-M_alt 'I -4 m 2'
_space_group_IT_number 119
_space_group_name_Hall 'I -4 -2'
_cell_length_a 3.946
_cell_length_b 3.946
_cell_length_c 9.234
_cell_angle_alpha 90.00
_cell_angle_beta 90.00
_cell_angle_gamma 90.00
loop_
_atom_site_label
_atom_site_type_symbol
_atom_site_fract_x
_atom_site_fract_y
_atom_site_fract_z
Ca1 Ca 0.000 0.000 0.000
Zr1 Zr 0.000 0.500 0.750
Be1 Be 0.000 0.000 0.500
Be2 Be 0.000 0.500 0.250
```